(1)
First-principles (PBE) data for a geometry-optimized NaPdF structure, as listed in Alexandria.

Output
D(E_F)	10.28	states/eV/cell
E_form (uncorrected)	-1402.7	meV/atom
volume	263.27	Å³/cell

Structure (CIF):
```
data_NaPdF
_chemical_formula_sum 'Na6 Pd6 F6'
_cell_length_a 3.0514
_cell_length_b 3.0514
_cell_length_c 32.6494
_cell_angle_alpha 90.00
_cell_angle_beta 90.00
_cell_angle_gamma 120.00
_symmetry_space_group_name_H-M 'R 3 m'
_symmetry_Int_Tables_number 160
_symmetry_space_group_name_Hall 'R 3 -2"'
loop_
_atom_site_label
_atom_site_type_symbol
_atom_site_fract_x
_atom_site_fract_y
_atom_site_fract_z
Na1 Na 0.0000 0.0000 0.0000
Na2 Na 0.0000 0.0000 0.2450
Pd1 Pd 0.0000 0.0000 0.4374
Pd2 Pd 0.0000 0.0000 0.8340
F1 F 0.0000 0.0000 0.3719
F2 F 0.0000 0.0000 0.6191
```

***

(2)
First-principles (PBE) data for a geometry-optimized Li2Ge5Pd3 structure, as listed in Alexandria.

Output
D(E_F)	11.91	states/eV/cell
volume	686.56	Å³/cell
formation energy from the elements	-362	meV/atom

Structure (CIF):
```
data_Li2Ge5Pd3
_chemical_formula_sum 'Li8 Ge20 Pd12'
_cell_length_a 4.1442
_cell_length_b 23.4447
_cell_length_c 7.0663
_cell_angle_alpha 90.00
_cell_angle_beta 90.00
_cell_angle_gamma 90.00
_symmetry_space_group_name_H-M 'C m c 21'
_symmetry_Int_Tables_number 36
loop_
_symmetry_equiv_pos_as_xyz
'x,y,z'
'-x,-y,z+1/2'
'-x,y,z'
'x,-y,z+1/2'
'x+1/2,y+1/2,z'
'-x+1/2,-y+1/2,z+1/2'
'-x+1/2,y+1/2,z'
'x+1/2,-y+1/2,z+1/2'
loop_
_atom_site_label
_atom_site_type_symbol
_atom_site_fract_x
_atom_site_fract_y
_atom_site_fract_z
Li1 Li 0.0000 0.0220 0.0000
Li2 Li 0.0000 0.3191 0.1012
Ge1 Ge 0.0000 0.0971 0.3849
Ge2 Ge 0.0000 0.2044 0.3268
Ge3 Ge 0.0000 0.2040 0.9158
Ge4 Ge 0.0000 0.3821 0.4945
Ge5 Ge 0.0000 0.4468 0.1384
Pd1 Pd 0.0000 0.1090 0.7525
Pd2 Pd 0.0000 0.2730 0.6303
Pd3 Pd 0.0000 0.4536 0.7715
```

***

(3)
First-principles (PBE) data for a geometry-optimized Sr2BiAu2 structure, as listed in Alexandria.

Output
D(E_F)	2.70	states/eV/cell
volume	323.11	Å³/cell
formation energy from the elements	-657	meV/atom

Structure (CIF):
```
data_Sr2BiAu2
_chemical_formula_sum 'Sr4 Bi2 Au4'
_cell_length_a 6.0245
_cell_length_b 6.0245
_cell_length_c 8.9026
_cell_angle_alpha 90.00
_cell_angle_beta 90.00
_cell_angle_gamma 90.00
_symmetry_space_group_name_H-M 'I 4/m m m'
_symmetry_Int_Tables_number 139
_symmetry_space_group_name_Hall '-I 4 2'
loop_
_atom_site_label
_atom_site_type_symbol
_atom_site_fract_x
_atom_site_fract_y
_atom_site_fract_z
Sr1 Sr 0.0000 0.5000 0.2500
Bi1 Bi 0.0000 0.0000 0.0000
Au1 Au 0.0000 0.0000 0.3502
```

***

(4)
First-principles (PBE) data for a geometry-optimized NiRhSeBr2 structure, as listed in Alexandria.

Output
D(E_F)	8.23	states/eV/cell
E_form (uncorrected)	644.3	meV/atom
volume	110.67	Å³/cell

Structure (CIF):
```
data_NiRhSeBr2
_chemical_formula_sum 'Ni1 Rh1 Se1 Br2'
_cell_length_a 4.8405
_cell_length_b 4.8405
_cell_length_c 4.7235
_cell_angle_alpha 90.00
_cell_angle_beta 90.00
_cell_angle_gamma 90.00
_symmetry_space_group_name_H-M 'P 4/m m m'
_symmetry_Int_Tables_number 123
_symmetry_space_group_name_Hall '-P 4 2'
loop_
_atom_site_label
_atom_site_type_symbol
_atom_site_fract_x
_atom_site_fract_y
_atom_site_fract_z
Ni1 Ni 0.0000 0.0000 0.0000
Rh1 Rh 0.5000 0.5000 0.5000
Se1 Se 0.0000 0.0000 0.5000
Br1 Br 0.0000 0.5000 0.0000
```

***

(5)
First-principles (PBE) data for a geometry-optimized CsOsSe3 structure, as listed in Alexandria.

Output
D(E_F)	6.85	states/eV/cell
E_form (uncorrected)	52.8	meV/atom
volume	131.23	Å³/cell

Structure (CIF):
```
data_CsOsSe3
_chemical_formula_sum 'Cs1 Os1 Se3'
_cell_length_a 5.0817
_cell_length_b 5.0817
_cell_length_c 5.0817
_cell_angle_alpha 90.00
_cell_angle_beta 90.00
_cell_angle_gamma 90.00
_symmetry_space_group_name_H-M 'P m -3 m'
_symmetry_Int_Tables_number 221
_symmetry_space_group_name_Hall '-P 4 2 3'
loop_
_atom_site_label
_atom_site_type_symbol
_atom_site_fract_x
_atom_site_fract_y
_atom_site_fract_z
Cs1 Cs 0.0000 0.0000 0.0000
Os1 Os 0.5000 0.5000 0.5000
Se1 Se 0.0000 0.5000 0.5000
```

***

(6)
First-principles (PBE) data for a geometry-optimized Dy2ErSc structure, as listed in Alexandria.

Output
D(E_F)	13.25	states/eV/cell
volume	236.04	Å³/cell
formation energy from the elements	31	meV/atom

Structure (CIF):
```
data_Dy2ErSc
_chemical_formula_sum 'Dy4 Er2 Sc2'
_cell_length_a 6.0498
_cell_length_b 3.4936
_cell_length_c 11.3478
_cell_angle_alpha 90.00
_cell_angle_beta 100.21
_cell_angle_gamma 90.00
_symmetry_space_group_name_H-M 'C 1 m 1'
_symmetry_Int_Tables_number 8
loop_
_symmetry_equiv_pos_as_xyz
'x,y,z'
'x,-y,z'
'x+1/2,y+1/2,z'
'x+1/2,-y+1/2,z'
loop_
_atom_site_label
_atom_site_type_symbol
_atom_site_fract_x
_atom_site_fract_y
_atom_site_fract_z
Dy1 Dy 0.0000 0.0000 0.0000
Dy2 Dy 0.1602 0.0000 0.4818
Er1 Er 0.0811 0.5000 0.7414
Sc1 Sc 0.2467 0.5000 0.2397
```

***

(7)
First-principles (PBE) data for a geometry-optimized Dy3CdHg structure, as listed in Alexandria.

Output
D(E_F)	26.53	states/eV/cell
volume	546.05	Å³/cell
formation energy from the elements	-297	meV/atom

Structure (CIF):
```
data_Dy3CdHg
_chemical_formula_sum 'Dy12 Cd4 Hg4'
_cell_length_a 5.2222
_cell_length_b 20.0351
_cell_length_c 5.2190
_cell_angle_alpha 90.00
_cell_angle_beta 90.00
_cell_angle_gamma 90.00
_symmetry_space_group_name_H-M 'C m c m'
_symmetry_Int_Tables_number 63
_symmetry_space_group_name_Hall '-C 2c 2'
loop_
_atom_site_label
_atom_site_type_symbol
_atom_site_fract_x
_atom_site_fract_y
_atom_site_fract_z
Dy1 Dy 0.0000 0.0602 0.2500
Dy2 Dy 0.0000 0.2498 0.2500
Dy3 Dy 0.0000 0.4385 0.2500
Cd1 Cd 0.0000 0.1545 0.7500
Hg1 Hg 0.0000 0.3440 0.7500
```

***

(8)
First-principles (PBE) data for a geometry-optimized TiNb2V structure, as listed in Alexandria.

Output
D(E_F)	25.49	states/eV/cell
volume	272.98	Å³/cell
formation energy from the elements	149	meV/atom

Structure (CIF):
```
data_TiNb2V
_chemical_formula_sum 'Ti4 Nb8 V4'
_cell_length_a 5.4541
_cell_length_b 9.1402
_cell_length_c 5.4758
_cell_angle_alpha 90.00
_cell_angle_beta 90.00
_cell_angle_gamma 90.00
_symmetry_space_group_name_H-M 'P n m a'
_symmetry_Int_Tables_number 62
loop_
_symmetry_equiv_pos_as_xyz
'x,y,z'
'-x,-y,-z'
'-x+1/2,-y,z+1/2'
'x+1/2,y,-z+1/2'
'x+1/2,-y+1/2,-z+1/2'
'-x+1/2,y+1/2,z+1/2'
'-x,y+1/2,-z'
'x,-y+1/2,z'
loop_
_atom_site_label
_atom_site_type_symbol
_atom_site_fract_x
_atom_site_fract_y
_atom_site_fract_z
Ti1 Ti 0.0421 0.2500 0.2446
Nb1 Nb 0.2448 0.0046 0.9455
V1 V 0.0569 0.7500 0.2387
```

***

(9)
First-principles (PBE) data for a geometry-optimized Re2PdPt2 structure, as listed in Alexandria.

Output
D(E_F)	7.58	states/eV/cell
volume	171.54	Å³/cell
formation energy from the elements	435	meV/atom

Structure (CIF):
```
data_Re2PdPt2
_chemical_formula_sum 'Re4 Pd2 Pt4'
_cell_length_a 3.7835
_cell_length_b 3.7835
_cell_length_c 11.9838
_cell_angle_alpha 90.00
_cell_angle_beta 90.00
_cell_angle_gamma 90.00
_symmetry_space_group_name_H-M 'I 4/m m m'
_symmetry_Int_Tables_number 139
_symmetry_space_group_name_Hall '-I 4 2'
loop_
_atom_site_label
_atom_site_type_symbol
_atom_site_fract_x
_atom_site_fract_y
_atom_site_fract_z
Re1 Re 0.0000 0.0000 0.0958
Pd1 Pd 0.0000 0.0000 0.5000
Pt1 Pt 0.0000 0.5000 0.2500
```

***

(10)
First-principles (PBE) data for a geometry-optimized Sr2HgGeC structure, as listed in Alexandria.

Output
D(E_F)	2.28	states/eV/cell
volume	182.79	Å³/cell
formation energy from the elements	938	meV/atom

Structure (CIF):
```
data_Sr2HgGeC
_chemical_formula_sum 'Sr2 Hg1 Ge1 C1'
_cell_length_a 6.0552
_cell_length_b 6.0552
_cell_length_c 4.9855
_cell_angle_alpha 90.00
_cell_angle_beta 90.00
_cell_angle_gamma 90.00
_symmetry_space_group_name_H-M 'P 4/m m m'
_symmetry_Int_Tables_number 123
_symmetry_space_group_name_Hall '-P 4 2'
loop_
_atom_site_label
_atom_site_type_symbol
_atom_site_fract_x
_atom_site_fract_y
_atom_site_fract_z
Sr1 Sr 0.0000 0.5000 0.0000
Hg1 Hg 0.0000 0.0000 0.5000
Ge1 Ge 0.0000 0.0000 0.0000
C1 C 0.5000 0.5000 0.5000
```

***

(11)
First-principles (PBE) data for a geometry-optimized Ba2LaEu structure, as listed in Alexandria.

Output
D(E_F)	60.94	states/eV/cell
volume	797.67	Å³/cell
formation energy from the elements	178	meV/atom

Structure (CIF):
```
data_Ba2LaEu
_chemical_formula_sum 'Ba8 La4 Eu4'
_cell_length_a 9.2742
_cell_length_b 9.2742
_cell_length_c 9.2742
_cell_angle_alpha 90.00
_cell_angle_beta 90.00
_cell_angle_gamma 90.00
_symmetry_space_group_name_H-M 'F m -3 m'
_symmetry_Int_Tables_number 225
_symmetry_space_group_name_Hall '-F 4 2 3'
loop_
_atom_site_label
_atom_site_type_symbol
_atom_site_fract_x
_atom_site_fract_y
_atom_site_fract_z
Ba1 Ba 0.2500 0.2500 0.2500
La1 La 0.0000 0.0000 0.0000
Eu1 Eu 0.0000 0.0000 0.5000
```

***

(12)
First-principles (PBE) data for a geometry-optimized GaPPtCl2 structure, as listed in Alexandria.

Output
D(E_F)	2.92	states/eV/cell
E_form (uncorrected)	18.6	meV/atom
volume	123.17	Å³/cell

Structure (CIF):
```
data_GaPPtCl2
_chemical_formula_sum 'Ga1 P1 Pt1 Cl2'
_cell_length_a 5.2501
_cell_length_b 5.2501
_cell_length_c 4.4686
_cell_angle_alpha 90.00
_cell_angle_beta 90.00
_cell_angle_gamma 90.00
_symmetry_space_group_name_H-M 'P 4/m m m'
_symmetry_Int_Tables_number 123
_symmetry_space_group_name_Hall '-P 4 2'
loop_
_atom_site_label
_atom_site_type_symbol
_atom_site_fract_x
_atom_site_fract_y
_atom_site_fract_z
Ga1 Ga 0.0000 0.0000 0.0000
P1 P 0.5000 0.5000 0.0000
Pt1 Pt 0.5000 0.5000 0.5000
Cl1 Cl 0.0000 0.5000 0.5000
```

***

(13)
First-principles (PBE) data for a geometry-optimized AgRh2Pb structure, as listed in Alexandria.

Output
D(E_F)	6.15	states/eV/cell
volume	74.76	Å³/cell
formation energy from the elements	259	meV/atom

Structure (CIF):
```
data_AgRh2Pb
_chemical_formula_sum 'Ag1 Rh2 Pb1'
_cell_length_a 3.2023
_cell_length_b 3.2023
_cell_length_c 7.2901
_cell_angle_alpha 90.00
_cell_angle_beta 90.00
_cell_angle_gamma 90.00
_symmetry_space_group_name_H-M 'P 4 m m'
_symmetry_Int_Tables_number 99
loop_
_symmetry_equiv_pos_as_xyz
'x,y,z'
'-y,x,z'
'-x,-y,z'
'y,-x,z'
'-x,y,z'
'y,x,z'
'x,-y,z'
'-y,-x,z'
loop_
_atom_site_label
_atom_site_type_symbol
_atom_site_fract_x
_atom_site_fract_y
_atom_site_fract_z
Ag1 Ag 0.0000 0.0000 0.0000
Rh1 Rh 0.0000 0.0000 0.5828
Rh2 Rh 0.5000 0.5000 0.7634
Pb1 Pb 0.5000 0.5000 0.3163
```

***

(14)
First-principles (PBE) data for a geometry-optimized Ac8LaPb6 structure, as listed in Alexandria.

Output
D(E_F)	29.81	states/eV/cell
volume	1840.67	Å³/cell
formation energy from the elements	-394	meV/atom

Structure (CIF):
```
data_Ac8LaPb6
_chemical_formula_sum 'Ac24 La3 Pb18'
_cell_length_a 9.9821
_cell_length_b 9.9821
_cell_length_c 21.3307
_cell_angle_alpha 90.00
_cell_angle_beta 90.00
_cell_angle_gamma 120.00
_symmetry_space_group_name_H-M 'R -3'
_symmetry_Int_Tables_number 148
_symmetry_space_group_name_Hall '-R 3'
loop_
_atom_site_label
_atom_site_type_symbol
_atom_site_fract_x
_atom_site_fract_y
_atom_site_fract_z
Ac1 Ac 0.0000 0.0000 0.1664
Ac2 Ac 0.9997 0.3331 0.2707
La1 La 0.0000 0.0000 0.5000
Pb1 Pb 0.0003 0.3303 0.4331
```

***

(15)
First-principles (PBE) data for a geometry-optimized BMo3Ir structure, as listed in Alexandria.

Output
D(E_F)	6.76	states/eV/cell
volume	105.36	Å³/cell
formation energy from the elements	2436	meV/atom

Structure (CIF):
```
data_BMo3Ir
_chemical_formula_sum 'B1 Mo3 Ir1'
_cell_length_a 4.7230
_cell_length_b 4.7230
_cell_length_c 4.7230
_cell_angle_alpha 90.00
_cell_angle_beta 90.00
_cell_angle_gamma 90.00
_symmetry_space_group_name_H-M 'P m -3 m'
_symmetry_Int_Tables_number 221
_symmetry_space_group_name_Hall '-P 4 2 3'
loop_
_atom_site_label
_atom_site_type_symbol
_atom_site_fract_x
_atom_site_fract_y
_atom_site_fract_z
B1 B 0.0000 0.0000 0.0000
Mo1 Mo 0.0000 0.5000 0.5000
Ir1 Ir 0.5000 0.5000 0.5000
```

***

(16)
First-principles (PBE) data for a geometry-optimized TlCrW2 structure, as listed in Alexandria.

Output
D(E_F)	16.52	states/eV/cell
volume	295.52	Å³/cell
formation energy from the elements	1183	meV/atom

Structure (CIF):
```
data_TlCrW2
_chemical_formula_sum 'Tl4 Cr4 W8'
_cell_length_a 3.8383
_cell_length_b 3.8383
_cell_length_c 20.0594
_cell_angle_alpha 90.00
_cell_angle_beta 90.00
_cell_angle_gamma 90.00
_symmetry_space_group_name_H-M 'I -4 2 d'
_symmetry_Int_Tables_number 122
_symmetry_space_group_name_Hall 'I -4 2bw'
loop_
_atom_site_label
_atom_site_type_symbol
_atom_site_fract_x
_atom_site_fract_y
_atom_site_fract_z
Tl1 Tl 0.0000 0.0000 0.0000
Cr1 Cr 0.0000 0.0000 0.5000
W1 W 0.2340 0.2500 0.6250
```

***

(17)
First-principles (PBE) data for a geometry-optimized LaTbMg2Hg4 structure, as listed in Alexandria.

Output
D(E_F)	9.29	states/eV/cell
volume	586.66	Å³/cell
formation energy from the elements	-474	meV/atom

Structure (CIF):
```
data_LaTbMg2Hg4
_chemical_formula_sum 'La3 Tb3 Mg6 Hg12'
_cell_length_a 5.1563
_cell_length_b 5.1563
_cell_length_c 25.4792
_cell_angle_alpha 90.00
_cell_angle_beta 90.00
_cell_angle_gamma 120.00
_symmetry_space_group_name_H-M 'R -3 m'
_symmetry_Int_Tables_number 166
_symmetry_space_group_name_Hall '-R 3 2"'
loop_
_atom_site_label
_atom_site_type_symbol
_atom_site_fract_x
_atom_site_fract_y
_atom_site_fract_z
La1 La 0.0000 0.0000 0.0000
Tb1 Tb 0.0000 0.0000 0.5000
Mg1 Mg 0.0000 0.0000 0.2490
Hg1 Hg 0.0000 0.0000 0.1281
Hg2 Hg 0.0000 0.0000 0.3791
```

***

(18)
First-principles (PBE) data for a geometry-optimized Ho2SiSe structure, as listed in Alexandria.

Output
D(E_F)	3.66	states/eV/cell
E_form (uncorrected)	-1290.5	meV/atom
volume	292.86	Å³/cell

Structure (CIF):
```
data_Ho2SiSe
_chemical_formula_sum 'Ho6 Si3 Se3'
_cell_length_a 4.0819
_cell_length_b 4.0819
_cell_length_c 20.2958
_cell_angle_alpha 90.00
_cell_angle_beta 90.00
_cell_angle_gamma 120.00
_symmetry_space_group_name_H-M 'R -3 m'
_symmetry_Int_Tables_number 166
_symmetry_space_group_name_Hall '-R 3 2"'
loop_
_atom_site_label
_atom_site_type_symbol
_atom_site_fract_x
_atom_site_fract_y
_atom_site_fract_z
Ho1 Ho 0.0000 0.0000 0.2452
Si1 Si 0.0000 0.0000 0.5000
Se1 Se 0.0000 0.0000 0.0000
```